Record 1
Computed, not measured: a relaxed CeHoSe2 crystal at the PBE level of DFT.

Lattice parameters (Å, degrees): 4.098 4.098 7.249 73.58 73.58 60.00
Element x y z (fractional)
Se (0.255, 0.255, 0.236)
Se (0.745, 0.745, 0.764)
Ho (0.000, 0.000, 0.000)
Ce (0.500, 0.500, 0.500)

For the formation energy without anion corrections, the calculation gives -689.3 kJ/mol of formula units. The calculation puts the volume at 99.65 Å³ per cell. The energy above the most stable polymorph in this dataset is 0.000 eV per atom. For the total magnetization, the calculation gives 0.258 μB/atom. The value obtained for the total energy is -6.156 eV per atom. As for the crystal system: trigonal. Its space-group type is R-3m, No. 166. For the density of states at the Fermi level, the calculation gives 6.30 states/eV/f.u.



Record 2
Computed, not measured: a relaxed CeHo2Se crystal at the PBE level of DFT.

Lattice parameters (Å, degrees): 3.699 3.699 9.821 79.15 79.15 60.00
Element x y z (fractional)
Se (0.000, 0.000, 0.000)
Ho (0.733, 0.733, 0.800)
Ho (0.267, 0.267, 0.200)
Ce (0.500, 0.500, 0.500)

For the formation energy without anion corrections, the calculation gives -285.9 kJ/mol of formula units. The calculation puts the volume at 113.58 Å³ per cell. The energy above the most stable polymorph in this dataset is 0.000 eV per atom. For the total magnetization, the calculation gives 0.261 μB/atom. The value obtained for the total energy is -5.384 eV per atom. As for the crystal system: trigonal. Its space-group type is R-3m, No. 166. For the density of states at the Fermi level, the calculation gives 7.35 states/eV/f.u.



Record 3
Computed, not measured: a relaxed Ce2HoSe3 crystal at the PBE level of DFT.

Lattice parameters (Å, degrees): 4.078 4.078 21.173 90.00 90.00 120.00
Element x y z (fractional)
Ce (0.333, 0.667, 0.917)
Ce (0.667, 0.333, 0.083)
Ce (0.667, 0.333, 0.417)
Ce (0.333, 0.667, 0.583)
Ho (0.000, 0.000, 0.250)
Ho (0.000, 0.000, 0.750)
Se (0.000, 0.000, 0.000)
Se (0.333, 0.667, 0.169)
Se (0.333, 0.667, 0.331)
Se (0.000, 0.000, 0.500)
Se (0.667, 0.333, 0.669)
Se (0.667, 0.333, 0.831)

For the formation energy without anion corrections, the calculation gives -1021.6 kJ/mol of formula units. The calculation puts the volume at 304.99 Å³ per cell. The energy above the most stable polymorph in this dataset is 0.024 eV per atom. For the total magnetization, the calculation gives 0.305 μB/atom. The value obtained for the total energy is -6.248 eV per atom. As for the crystal system: hexagonal. Its space-group type is P6_3/mmc, No. 194. For the density of states at the Fermi level, the calculation gives 12.33 states/eV/f.u.



Record 4
Computed, not measured: a relaxed Ce2HoSe crystal at the PBE level of DFT.

Lattice parameters (Å, degrees): 3.815 3.815 9.851 78.83 78.83 60.00
Element x y z (fractional)
Se (0.000, 0.000, 0.000)
Ho (0.500, 0.500, 0.500)
Ce (0.266, 0.266, 0.203)
Ce (0.734, 0.734, 0.797)

For the formation energy without anion corrections, the calculation gives -244.0 kJ/mol of formula units. The calculation puts the volume at 121.02 Å³ per cell. For the total magnetization, the calculation gives 0.626 μB/atom. The value obtained for the total energy is -5.615 eV per atom. As for the crystal system: trigonal. Its space-group type is R-3m, No. 166. For the density of states at the Fermi level, the calculation gives 11.19 states/eV/f.u.



Record 5
Computed, not measured: a relaxed Ce3Ho4Se8 crystal at the PBE level of DFT.

Lattice parameters (Å, degrees): 8.202 8.233 8.233 90.08 119.82 119.82
Element x y z (fractional)
Ce (0.500, 0.500, 0.000)
Ce (0.500, 0.000, 0.500)
Ce (0.500, 0.500, 0.500)
Ho (0.500, 0.000, 0.000)
Ho (0.000, 0.500, 0.000)
Ho (0.000, 0.000, 0.000)
Ho (0.000, 0.000, 0.500)
Se (0.497, 0.244, 0.244)
Se (0.000, 0.751, 0.249)
Se (0.992, 0.246, 0.246)
Se (0.500, 0.755, 0.245)
Se (0.500, 0.245, 0.755)
Se (0.008, 0.754, 0.754)
Se (0.000, 0.249, 0.751)
Se (0.503, 0.756, 0.756)

For the formation energy without anion corrections, the calculation gives -2634.6 kJ/mol of formula units. The calculation puts the volume at 394.95 Å³ per cell. For the total magnetization, the calculation gives 0.238 μB/atom. The value obtained for the total energy is -6.086 eV per atom. As for the crystal system: monoclinic. Its space-group type is C2/m, No. 12. For the density of states at the Fermi level, the calculation gives 19.98 states/eV/f.u.



Record 6
Computed, not measured: a relaxed CeHoSe2 crystal at the PBE level of DFT.

Lattice parameters (Å, degrees): 3.986 3.986 7.706 75.01 75.01 60.00
Element x y z (fractional)
Ce (0.671, 0.671, 0.987)
Ho (0.496, 0.496, 0.513)
Se (0.087, 0.087, 0.740)
Se (0.247, 0.247, 0.260)

For the formation energy without anion corrections, the calculation gives -660.7 kJ/mol of formula units. The calculation puts the volume at 101.17 Å³ per cell. The energy above the most stable polymorph in this dataset is 0.074 eV per atom. For the total magnetization, the calculation gives 0.272 μB/atom. The value obtained for the total energy is -6.082 eV per atom. As for the crystal system: trigonal. Its space-group type is R3m, No. 160. For the density of states at the Fermi level, the calculation gives 6.34 states/eV/f.u.



Record 7
Computed, not measured: a relaxed CeHo5Se6 crystal at the PBE level of DFT.

Lattice parameters (Å, degrees): 7.073 7.073 7.072 99.64 99.64 120.24
Element x y z (fractional)
Se (0.425, 0.085, 0.255)
Se (0.915, 0.575, 0.745)
Se (0.257, 0.257, 0.747)
Se (0.743, 0.743, 0.253)
Se (0.085, 0.425, 0.255)
Se (0.575, 0.915, 0.745)
Ho (0.835, 0.165, 0.500)
Ho (0.667, 0.333, 0.000)
Ho (0.500, 0.500, 0.500)
Ho (0.333, 0.667, 0.000)
Ho (0.165, 0.835, 0.500)
Ce (0.000, 0.000, 0.000)

For the formation energy without anion corrections, the calculation gives -2016.0 kJ/mol of formula units. The calculation puts the volume at 287.92 Å³ per cell. For the total magnetization, the calculation gives 0.073 μB/atom. The value obtained for the total energy is -5.885 eV per atom. As for the crystal system: monoclinic. Its space-group type is C2/m, No. 12. For the density of states at the Fermi level, the calculation gives 10.44 states/eV/f.u.



Record 8
Computed, not measured: a relaxed CeHoSiSe crystal at the PBE level of DFT.

Lattice parameters (Å, degrees): 4.147 4.147 7.210 73.29 73.29 60.00
Element x y z (fractional)
Ce (0.190, 0.190, 0.431)
Ho (0.697, 0.697, 0.908)
Si (0.443, 0.443, 0.671)
Se (0.947, 0.947, 0.160)

For the formation energy without anion corrections, the calculation gives -482.1 kJ/mol of formula units. The calculation puts the volume at 101.27 Å³ per cell. For the total magnetization, the calculation gives 0.139 μB/atom. The value obtained for the total energy is -6.104 eV per atom. As for the crystal system: trigonal. Its space-group type is R3m, No. 160. For the density of states at the Fermi level, the calculation gives 5.33 states/eV/f.u.



Record 9
Computed, not measured: a relaxed CeSm2HoSe5 crystal at the PBE level of DFT.

Lattice parameters (Å, degrees): 5.138 5.138 11.035 90.00 90.00 90.00
Element x y z (fractional)
Ce (0.000, 0.000, 0.000)
Sm (0.500, 0.500, 0.338)
Sm (0.500, 0.500, 0.662)
Ho (0.000, 0.000, 0.500)
Se (0.000, 0.500, 0.500)
Se (0.500, 0.000, 0.500)
Se (0.000, 0.000, 0.748)
Se (0.000, 0.000, 0.252)
Se (0.500, 0.500, 0.000)

For the formation energy without anion corrections, the calculation gives -1075.4 kJ/mol of formula units. The calculation puts the volume at 291.30 Å³ per cell. For the total magnetization, the calculation gives 0.144 μB/atom. The value obtained for the total energy is -5.391 eV per atom. As for the crystal system: tetragonal. Its space-group type is P4/mmm, No. 123. For the density of states at the Fermi level, the calculation gives 11.59 states/eV/f.u.



Record 10
Computed, not measured: a relaxed CeSm2HoSe4 crystal at the PBE level of DFT.

Lattice parameters (Å, degrees): 4.121 7.231 7.181 109.06 90.00 90.00
Element x y z (fractional)
Ce (0.500, 0.500, 0.000)
Sm (0.500, 0.000, 0.500)
Sm (0.000, 0.500, 0.500)
Ho (0.000, 0.000, 0.000)
Se (0.500, 0.242, 0.243)
Se (0.500, 0.758, 0.757)
Se (0.000, 0.245, 0.752)
Se (0.000, 0.755, 0.248)

For the formation energy without anion corrections, the calculation gives -1387.3 kJ/mol of formula units. The calculation puts the volume at 202.29 Å³ per cell. For the total magnetization, the calculation gives 0.117 μB/atom. The value obtained for the total energy is -6.033 eV per atom. As for the crystal system: monoclinic. Its space-group type is P2/m, No. 10. For the density of states at the Fermi level, the calculation gives 8.67 states/eV/f.u.



Record 11
Computed, not measured: a relaxed CeSm2HoSe6 crystal at the PBE level of DFT.

Lattice parameters (Å, degrees): 7.367 7.367 7.824 61.91 61.91 60.00
Element x y z (fractional)
Ce (0.815, 0.815, 0.554)
Sm (0.518, 0.518, 0.446)
Sm (0.015, 0.015, 0.955)
Ho (0.319, 0.319, 0.044)
Se (0.605, 0.218, 0.251)
Se (0.218, 0.927, 0.251)
Se (0.927, 0.605, 0.251)
Se (0.411, 0.714, 0.754)
Se (0.713, 0.121, 0.754)
Se (0.121, 0.411, 0.754)

For the formation energy without anion corrections, the calculation gives -1752.8 kJ/mol of formula units. The calculation puts the volume at 308.65 Å³ per cell. For the total magnetization, the calculation gives 0.101 μB/atom. The value obtained for the total energy is -5.902 eV per atom. As for the crystal system: trigonal. Its space-group type is R3, No. 146. For the density of states at the Fermi level, the calculation gives 5.02 states/eV/f.u.



Record 12
Computed, not measured: a relaxed CeSmHo2Se4 crystal at the PBE level of DFT.

Lattice parameters (Å, degrees): 4.076 7.231 7.097 71.12 90.00 90.00
Element x y z (fractional)
Ce (0.500, 0.500, 0.000)
Sm (0.000, 0.500, 0.500)
Ho (0.000, 0.000, 0.000)
Ho (0.500, 0.000, 0.500)
Se (0.000, 0.763, 0.745)
Se (0.000, 0.237, 0.255)
Se (0.500, 0.762, 0.247)
Se (0.500, 0.238, 0.753)

For the formation energy without anion corrections, the calculation gives -1373.9 kJ/mol of formula units. The calculation puts the volume at 197.94 Å³ per cell. For the total magnetization, the calculation gives 0.127 μB/atom. The value obtained for the total energy is -5.998 eV per atom. As for the crystal system: monoclinic. Its space-group type is P2/m, No. 10. For the density of states at the Fermi level, the calculation gives 8.67 states/eV/f.u.